# 1
Density functional theory data (PBE-GGA) for crystalline HfPaP at its relaxed geometry.

Properties
VASP energy, eV per atom: -8.66
Polymorph energy (0 for the lowest one), eV per atom: 0.187

a = 4.507 Å, b = 4.507 Å, c = 3.590 Å
α = 90.00°, β = 90.00°, γ = 120.00°
Element x y z (fractional)
Hf 0.000 0.000 0.000
Pa 0.333 0.667 0.500
P 0.667 0.333 0.000

# 2
Density functional theory data (PBE-GGA) for crystalline Tl3In7Pb at its relaxed geometry.

Properties
VASP energy, eV per atom: -2.64

a = 12.466 Å, b = 12.466 Å, c = 13.835 Å
α = 90.00°, β = 90.00°, γ = 161.89°
Element x y z (fractional)
Tl 0.144 0.856 0.557
Tl 0.144 0.856 0.943
Tl 0.202 0.798 0.250
Tl 0.798 0.202 0.750
Tl 0.856 0.144 0.057
Tl 0.856 0.144 0.443
In 0.274 0.726 0.578
In 0.274 0.726 0.922
In 0.362 0.638 0.250
In 0.401 0.599 0.629
In 0.401 0.599 0.871
In 0.463 0.537 0.086
In 0.463 0.537 0.414
In 0.537 0.463 0.586
In 0.537 0.463 0.914
In 0.599 0.401 0.129
In 0.599 0.401 0.371
In 0.638 0.362 0.750
In 0.726 0.274 0.078
In 0.726 0.274 0.422
Pb 0.011 0.989 0.250
Pb 0.989 0.011 0.750

# 3
Density functional theory data (PBE-GGA) for crystalline SrBeNi at its relaxed geometry.

Properties
VASP energy, eV per atom: -3.10
Polymorph energy (0 for the lowest one), eV per atom: 0.713

a = 6.358 Å, b = 6.358 Å, c = 6.358 Å
α = 90.00°, β = 90.00°, γ = 90.00°
Element x y z (fractional)
Sr 0.000 0.000 0.000
Sr 0.000 0.500 0.500
Sr 0.500 0.000 0.500
Sr 0.500 0.500 0.000
Be 0.250 0.250 0.750
Be 0.250 0.750 0.250
Be 0.750 0.250 0.250
Be 0.750 0.750 0.750
Ni 0.000 0.000 0.500
Ni 0.000 0.500 0.000
Ni 0.500 0.000 0.000
Ni 0.500 0.500 0.500

# 4
Density functional theory data (PBE-GGA) for crystalline TbGa2P2Pt7 at its relaxed geometry.

Properties
VASP energy, eV per atom: -5.96

a = 3.927 Å, b = 3.927 Å, c = 14.376 Å
α = 94.31°, β = 94.31°, γ = 90.25°
Element x y z (fractional)
Tb 0.000 0.000 0.000
Ga 0.132 0.132 0.424
Ga 0.868 0.868 0.576
P 0.430 0.430 0.749
P 0.570 0.570 0.251
Pt 0.045 0.544 0.157
Pt 0.406 0.406 0.590
Pt 0.456 0.955 0.843
Pt 0.500 0.500 0.000
Pt 0.544 0.045 0.157
Pt 0.594 0.594 0.410
Pt 0.955 0.456 0.843

What did the fourth record say?
Density functional theory data (PBE-GGA) for crystalline TbGa2P2Pt7 at its relaxed geometry.

Properties
VASP energy, eV per atom: -5.96

a = 3.927 Å, b = 3.927 Å, c = 14.376 Å
α = 94.31°, β = 94.31°, γ = 90.25°
Element x y z (fractional)
Tb 0.000 0.000 0.000
Ga 0.132 0.132 0.424
Ga 0.868 0.868 0.576
P 0.430 0.430 0.749
P 0.570 0.570 0.251
Pt 0.045 0.544 0.157
Pt 0.406 0.406 0.590
Pt 0.456 0.955 0.843
Pt 0.500 0.500 0.000
Pt 0.544 0.045 0.157
Pt 0.594 0.594 0.410
Pt 0.955 0.456 0.843

> Which value of VASP energy does entry 4 give?

-5.96 eV per atom

> What is the formula in the first record?

HfPaP